(one)
Entry from the Alexandria database: an optimized crystal structure of Pa3Te2P (PBE-GGA).

**Density of states at the Fermi level**: 2.018 states/eV/atom

a b c (Å): 7.261 7.362 7.273
angles (deg): 80.50 60.05 70.69
Positions (direct):
Pa  0.436  0.782  0.639
Pa  0.296  0.205  0.000
Pa  0.075  0.782  0.361
Pa  0.925  0.218  0.639
Pa  0.704  0.795  0.000
Pa  0.564  0.218  0.361
Te  0.000  0.000  0.000
Te  0.500  0.500  0.000
Te  0.847  0.500  0.305
Te  0.153  0.500  0.695
P  0.330  0.000  0.341
P  0.670  0.000  0.659


(two)
Entry from the Alexandria database: an optimized crystal structure of Pa3Te2P (PBE-GGA).

**Density of states at the Fermi level**: 1.825 states/eV/atom

a b c (Å): 6.712 7.551 7.551
angles (deg): 120.60 90.00 90.00
Each line ends with the local moment (μB).
Positions (direct):
Te  0.720  0.164  0.529  -0.02
Te  0.720  0.529  0.164  -0.02
Te  0.220  0.471  0.836  -0.02
Te  0.220  0.836  0.471  -0.02
Pa  0.970  0.500  0.500  0.81
Pa  0.470  0.871  0.129  1.02
Pa  0.970  0.871  0.129  1.02
Pa  0.470  0.500  0.500  0.81
Pa  0.970  0.129  0.871  1.02
Pa  0.470  0.129  0.871  1.02
P  0.220  0.202  0.202  -0.04
P  0.720  0.798  0.798  -0.04


Which of them is the most stable? Correct choice: (one).


(one)
Entry from the Alexandria database: an optimized crystal structure of Pa3Te3P (PBE-GGA).

**Density of states at the Fermi level**: 1.545 states/eV/atom

a b c (Å): 4.111 8.446 11.747
angles (deg): 90.13 90.00 90.00
Each line ends with the local moment (μB).
Positions (direct):
Te  0.250  0.381  0.356  -0.01
Te  0.250  0.385  0.880  -0.02
Te  0.750  0.149  0.121  -0.01
Te  0.750  0.619  0.644  -0.01
Te  0.250  0.851  0.879  -0.01
Te  0.750  0.615  0.120  -0.02
Pa  0.750  0.123  0.856  0.43
Pa  0.250  0.342  0.621  0.20
Pa  0.250  0.877  0.144  0.43
Pa  0.750  0.102  0.385  0.11
Pa  0.250  0.898  0.615  0.11
Pa  0.750  0.658  0.379  0.20
P  0.750  0.121  0.621  -0.01
P  0.250  0.879  0.379  -0.01


(two)
Entry from the Alexandria database: an optimized crystal structure of Pa3Te3P (PBE-GGA).

**Density of states at the Fermi level**: 1.916 states/eV/atom

a b c (Å): 7.470 7.470 7.840
angles (deg): 92.54 92.54 110.90
Each line ends with the local moment (μB).
Positions (direct):
Pa  0.831  0.534  0.698  1.06
Pa  0.045  0.045  0.799  1.07
Pa  0.534  0.831  0.698  1.06
Pa  0.169  0.466  0.302  1.06
Pa  0.955  0.955  0.201  1.07
Pa  0.466  0.169  0.302  1.06
Te  0.834  0.166  0.500  -0.03
Te  0.629  0.629  0.356  -0.03
Te  0.766  0.234  0.000  -0.04
Te  0.166  0.834  0.500  -0.03
Te  0.234  0.766  0.000  -0.04
Te  0.371  0.371  0.644  -0.03
P  0.261  0.261  0.062  -0.04
P  0.739  0.739  0.938  -0.04


Which of them is the most stable? Correct choice: (one).


(one)
Entry from the Alexandria database: an optimized crystal structure of UPaP2 (PBE-GGA).

**Density of states at the Fermi level**: 1.726 states/eV/atom

a b c (Å): 3.815 3.815 7.360
angles (deg): 74.98 74.98 60.00
Each line ends with the local moment (μB).
Positions (direct):
Pa  0.670  0.670  0.990  0.08
U  0.496  0.496  0.512  2.21
P  0.083  0.083  0.751  -0.04
P  0.251  0.251  0.248  -0.05


(two)
Entry from the Alexandria database: an optimized crystal structure of UPaP2 (PBE-GGA).

**Density of states at the Fermi level**: 1.388 states/eV/atom

a b c (Å): 3.721 6.883 13.221
angles (deg): 90.00 90.00 90.00
Positions (direct):
P  0.750  0.822  0.955
P  0.750  0.322  0.545
P  0.750  0.351  0.797
P  0.250  0.678  0.455
P  0.250  0.178  0.045
P  0.250  0.149  0.297
P  0.250  0.649  0.203
P  0.750  0.851  0.703
Pa  0.250  0.032  0.841
Pa  0.250  0.532  0.659
Pa  0.750  0.968  0.159
Pa  0.750  0.468  0.341
U  0.750  0.980  0.437
U  0.250  0.520  0.937
U  0.750  0.480  0.063
U  0.250  0.020  0.563


(three)
Entry from the Alexandria database: an optimized crystal structure of UPaP2 (PBE-GGA).

**Density of states at the Fermi level**: 1.992 states/eV/atom

a b c (Å): 3.923 3.923 6.925
angles (deg): 73.55 73.55 60.00
Each line ends with the local moment (μB).
Positions (direct):
U  0.500  0.500  0.500  1.82
P  0.249  0.249  0.253  -0.04
P  0.751  0.751  0.747  -0.04
Pa  0.000  0.000  0.000  0.01


(four)
Entry from the Alexandria database: an optimized crystal structure of UPaP2 (PBE-GGA).

**Density of states at the Fermi level**: 1.884 states/eV/atom

a b c (Å): 3.394 3.394 6.826
angles (deg): 90.00 90.00 90.00
Each line ends with the local moment (μB).
Positions (direct):
P  0.000  0.000  0.749  -0.06
P  0.000  0.000  0.251  -0.06
Pa  0.500  0.500  0.500  0.59
U  0.500  0.500  0.000  2.48


Which of them is the most stable? Correct choice: (three).


(one)
Entry from the Alexandria database: an optimized crystal structure of U2PaP (PBE-GGA).

**Density of states at the Fermi level**: 1.725 states/eV/atom

a b c (Å): 4.386 4.210 4.210
angles (deg): 90.00 90.00 90.00
Positions (direct):
U  0.000  0.500  0.000
U  0.000  0.000  0.500
P  0.500  0.000  0.000
Pa  0.500  0.500  0.500


(two)
Entry from the Alexandria database: an optimized crystal structure of U2PaP (PBE-GGA).

**Density of states at the Fermi level**: 2.636 states/eV/atom

a b c (Å): 4.798 4.798 4.798
angles (deg): 60.00 60.00 60.00
Positions (direct):
U  0.750  0.750  0.750
U  0.250  0.250  0.250
Pa  0.500  0.500  0.500
P  0.000  0.000  0.000


Which of them is the most stable? Correct choice: (one).


(one)
Entry from the Alexandria database: an optimized crystal structure of PaV2P (PBE-GGA).

**Density of states at the Fermi level**: 1.494 states/eV/atom

a b c (Å): 3.188 3.188 6.411
angles (deg): 90.00 90.00 90.00
Positions (direct):
V  0.000  0.000  0.173
V  0.000  0.000  0.827
P  0.500  0.500  0.000
Pa  0.500  0.500  0.500


(two)
Entry from the Alexandria database: an optimized crystal structure of PaV2P (PBE-GGA).

**Density of states at the Fermi level**: 0.502 states/eV/atom

a b c (Å): 4.412 4.412 4.411
angles (deg): 59.99 59.99 60.00
Positions (direct):
V  0.250  0.250  0.250
V  0.750  0.750  0.750
Pa  0.000  0.000  0.000
P  0.500  0.500  0.500


Which of them is the most stable? Correct choice: (one).


(one)
Entry from the Alexandria database: an optimized crystal structure of YPaP2 (PBE-GGA).

**Density of states at the Fermi level**: 0.465 states/eV/atom

a b c (Å): 3.937 3.937 7.172
angles (deg): 74.07 74.07 60.00
Positions (direct):
P  0.081  0.081  0.756
P  0.253  0.253  0.240
Pa  0.671  0.671  0.986
Y  0.494  0.494  0.518


(two)
Entry from the Alexandria database: an optimized crystal structure of YPaP2 (PBE-GGA).

**Density of states at the Fermi level**: 0.845 states/eV/atom

a b c (Å): 3.987 3.987 6.895
angles (deg): 73.19 73.19 59.98
Positions (direct):
Y  0.500  0.500  0.500
P  0.252  0.252  0.245
P  0.748  0.748  0.755
Pa  0.000  0.000  0.000


Which of them is the most stable? Correct choice: (two).


(one)
Entry from the Alexandria database: an optimized crystal structure of ZrPaP (PBE-GGA).

**Density of states at the Fermi level**: 1.683 states/eV/atom

a b c (Å): 3.702 4.487 4.487
angles (deg): 120.00 90.00 90.00
Positions (direct):
Zr  0.167  0.333  0.667
P  0.167  0.000  0.000
Pa  0.666  0.667  0.333


(two)
Entry from the Alexandria database: an optimized crystal structure of ZrPaP (PBE-GGA).

**Density of states at the Fermi level**: 1.284 states/eV/atom

a b c (Å): 6.367 8.706 9.007
angles (deg): 58.85 90.00 111.45
Positions (direct):
Pa  0.277  0.761  0.065
Pa  0.277  0.761  0.674
Pa  0.517  0.239  0.935
Pa  0.981  0.000  0.000
Pa  0.981  0.000  0.500
Pa  0.517  0.239  0.326
P  0.975  0.371  0.360
P  0.604  0.629  0.640
P  0.604  0.629  0.232
P  0.223  0.930  0.285
P  0.975  0.371  0.768
P  0.293  0.070  0.715
Zr  0.026  0.343  0.078
Zr  0.295  0.417  0.541
Zr  0.615  0.895  0.302
Zr  0.877  0.583  0.459
Zr  0.683  0.657  0.922
Zr  0.720  0.105  0.698


Which of them is the most stable? Correct choice: (two).


(one)
Entry from the Alexandria database: an optimized crystal structure of P2Pb3 (PBE-GGA).

**Density of states at the Fermi level**: 0.533 states/eV/atom

a b c (Å): 7.611 7.611 7.383
angles (deg): 58.97 58.97 60.00
Positions (direct):
P  0.634  0.634  0.099
P  0.366  0.366  0.901
P  0.866  0.866  0.401
P  0.134  0.134  0.599
Pb  0.750  0.469  0.750
Pb  0.469  0.031  0.750
Pb  0.969  0.250  0.250
Pb  0.031  0.750  0.750
Pb  0.531  0.969  0.250
Pb  0.250  0.531  0.250


(two)
Entry from the Alexandria database: an optimized crystal structure of P2Pb3 (PBE-GGA).

**Density of states at the Fermi level**: 0.162 states/eV/atom

a b c (Å): 9.461 9.461 9.461
angles (deg): 25.69 25.69 25.69
Positions (direct):
Pb  0.782  0.782  0.782
Pb  0.000  0.000  0.000
Pb  0.218  0.218  0.218
P  0.398  0.398  0.398
P  0.602  0.602  0.602


Which of them is the most stable? Correct choice: (two).